1.
CaGa2Cu3Ru2O12 | PBE | optimized geometry

Summary:
Its density of states at the Fermi level is 3.13 states/eV/f.u. The value obtained for the raw total energy is -123.3 eV per formula unit. Its calculated density is 6140 kg/m³.

Lattice parameters (Å, degrees): 6.4371 6.4371 7.4726 54.79 54.79 70.05
Closest atoms and distances in Å follow each position.
Atoms (fractional coordinates):
Ca1 0.0000 0.0000 0.0000  12 O 2.61-2.65
Ga1 0.5000 0.0000 0.5000  6 O 1.98-2.03
Ga2 0.0000 0.5000 0.5000  6 O 1.98-2.03
Cu1 0.5000 0.5000 0.0000  4 O 1.91
Cu2 0.5000 0.5000 0.5000  4 O 1.92
Cu3 0.0000 0.0000 0.5000  4 O 1.94
Ru1 0.0000 0.5000 0.0000  6 O 1.98-1.99
Ru2 0.5000 0.0000 0.0000  6 O 1.98-1.99
O1 0.8276 0.8276 0.4777  1 Cu 1.94, 2 Ga 1.98
O2 0.1724 0.1724 0.5223  1 Cu 1.94, 2 Ga 1.98
O3 0.8279 0.8279 0.8646  1 Cu 1.94, 2 Ru 1.99
O4 0.1721 0.1721 0.1354  1 Cu 1.94, 2 Ru 1.99
O5 0.3051 0.6900 0.8315  1 Cu 1.91, 1 Ru 1.99, 1 Ga 2.03
O6 0.6949 0.3100 0.1685  1 Cu 1.91, 1 Ru 1.99, 1 Ga 2.03
O7 0.6900 0.3051 0.8315  1 Cu 1.91, 1 Ru 1.99, 1 Ga 2.03
O8 0.3100 0.6949 0.1685  1 Cu 1.91, 1 Ru 1.99, 1 Ga 2.03
O9 0.1354 0.4841 0.6937  1 Cu 1.92, 1 Ru 1.98, 1 Ga 2.02
O10 0.8646 0.5159 0.3063  1 Cu 1.92, 1 Ru 1.98, 1 Ga 2.02
O11 0.5159 0.8646 0.3063  1 Cu 1.92, 1 Ru 1.98, 1 Ga 2.02
O12 0.4841 0.1354 0.6937  1 Cu 1.92, 1 Ru 1.98, 1 Ga 2.02

2.
Pm2Si4GePd3 | PBE | optimized geometry

Summary:
Its density of states at the Fermi level is 2.85 states/eV/f.u. The value obtained for the raw total energy is -59.0 eV per formula unit. Its calculated density is 7272 kg/m³.

Lattice parameters (Å, degrees): 4.2654 4.2654 9.9692 90.00 90.00 90.00
Closest atoms and distances in Å follow each position.
Atoms (fractional coordinates):
Pm1 0.5000 0.0000 0.2448  8 Si 3.23-3.24, 6 Pd 3.26-3.32, 2 Ge 3.32
Pm2 0.0000 0.5000 0.7552  8 Si 3.23-3.24, 6 Pd 3.26-3.32, 2 Ge 3.32
Si1 0.5000 0.5000 0.0000  4 Pd 2.45
Si2 0.0000 0.0000 0.0000  4 Pd 2.45
Si3 0.5000 0.0000 0.6394  3 Pd 2.39-2.55, 2 Ge 2.55
Si4 0.0000 0.5000 0.3606  3 Pd 2.39-2.55, 2 Ge 2.55
Ge1 0.5000 0.5000 0.5000  4 Si 2.55
Pd1 0.0000 0.0000 0.5000  4 Si 2.55
Pd2 0.5000 0.0000 0.8792  5 Si 2.39-2.45
Pd3 0.0000 0.5000 0.1208  5 Si 2.39-2.45

3.
Dy2PbAu | PBE | optimized geometry

Summary:
Its density of states at the Fermi level is 3.44 states/eV/f.u. The value obtained for the formation energy is -0.575 eV per atom. The value obtained for the raw total energy is -18.5 eV per formula unit. Its calculated density is 11087 kg/m³.

Lattice parameters (Å, degrees): 4.9536 3.7470 11.9158 99.05 90.00 90.00
Closest atoms and distances in Å follow each position.
Atoms (fractional coordinates):
Dy1 0.7500 0.6678 0.3356  1 Au 2.99, 5 Pb 3.17-3.22
Dy2 0.2500 0.3322 0.6644  1 Au 2.99, 5 Pb 3.17-3.22
Dy3 0.7500 0.9402 0.8805  6 Au 3.02-3.14, 1 Pb 3.19
Dy4 0.2500 0.0598 0.1195  6 Au 3.02-3.14, 1 Pb 3.19
Pb1 0.2500 0.1952 0.3905  6 Dy 3.17-3.22
Pb2 0.7500 0.8048 0.6095  6 Dy 3.17-3.22
Au1 0.2500 0.4592 0.9185  7 Dy 2.99-3.14, 2 Au 3.13
Au2 0.7500 0.5408 0.0815  7 Dy 2.99-3.14, 2 Au 3.13

4.
TiMnTe3 | PBE | optimized geometry

Summary:
Its density of states at the Fermi level is 2.70 states/eV/f.u. The value obtained for the raw total energy is -25.3 eV per formula unit. Its calculated density is 5355 kg/m³.

Lattice parameters (Å, degrees): 5.3202 5.3202 5.3202 90.00 90.00 90.00
Closest atoms and distances in Å follow each position.
Atoms (fractional coordinates):
Te1 0.0000 0.5000 0.0000  2 Ti 2.66
Te2 0.0000 0.0000 0.5000  2 Ti 2.66
Te3 0.5000 0.0000 0.0000  2 Ti 2.66
Mn1 0.5000 0.5000 0.5000  12 Te 3.76
Ti1 0.0000 0.0000 0.0000  6 Te 2.66

5.
Nb2IrPt | PBE | optimized geometry

Summary:
Its density of states at the Fermi level is 2.84 states/eV/f.u. The value obtained for the formation energy is -0.602 eV per atom. The value obtained for the raw total energy is -37.4 eV per formula unit. Its calculated density is 14605 kg/m³.

Lattice parameters (Å, degrees): 4.0331 4.0195 4.0195 90.00 90.00 90.00
Closest atoms and distances in Å follow each position.
Atoms (fractional coordinates):
Nb1 0.0000 0.0000 0.5000  4 Nb 2.84, 4 Ir 2.85, 4 Pt 2.85
Nb2 0.0000 0.5000 0.0000  4 Nb 2.84, 4 Ir 2.85, 4 Pt 2.85
Ir1 0.5000 0.5000 0.5000  4 Pt 2.84, 8 Nb 2.85
Pt1 0.5000 0.0000 0.0000  4 Ir 2.84, 8 Nb 2.85

6.
AlAuBr2 | PBE | optimized geometry

Summary:
Its density of states at the Fermi level is 1.64 states/eV/f.u. The value obtained for the raw total energy is -10.0 eV per formula unit. Its calculated density is 5984 kg/m³.

Lattice parameters (Å, degrees): 4.0625 6.6218 3.9586 90.00 90.00 90.00
Closest atoms and distances in Å follow each position.
Atoms (fractional coordinates):
Au1 0.0000 0.5000 0.5000  4 Br 2.84
Al1 0.5000 0.0000 0.5000  4 Br 2.84
Br1 0.0000 0.0000 0.0000  4 Al 2.84
Br2 0.5000 0.5000 0.0000  4 Au 2.84

7.
RbBeCuS2 | PBE | optimized geometry

Summary:
Its density of states at the Fermi level is 0.00 states/eV/f.u. The value obtained for the raw total energy is -21.3 eV per formula unit. Its calculated density is 3412 kg/m³.

Lattice parameters (Å, degrees): 5.9951 5.5018 7.1090 112.77 90.00 90.00
Closest atoms and distances in Å follow each position.
Atoms (fractional coordinates):
Rb1 0.2475 0.7500 0.5000  6 S 3.40-3.48, 2 Cu 3.60
Rb2 0.7525 0.2500 0.5000  6 S 3.40-3.48, 2 Cu 3.60
Be1 0.5000 0.7500 0.0000  4 S 2.15
Be2 0.5000 0.2500 0.0000  4 S 2.15
Cu1 0.0000 0.0000 0.0000  2 S 2.18
Cu2 0.0000 0.5000 0.0000  2 S 2.18
S1 0.6941 0.9104 0.8208  2 Be 2.15, 1 Cu 2.18
S2 0.6941 0.5896 0.1792  2 Be 2.15, 1 Cu 2.18
S3 0.3059 0.4104 0.8208  2 Be 2.15, 1 Cu 2.18
S4 0.3059 0.0896 0.1792  2 Be 2.15, 1 Cu 2.18

8.
NbIn2I | PBE | optimized geometry

Summary:
Its density of states at the Fermi level is 2.24 states/eV/f.u. The value obtained for the raw total energy is -13.7 eV per formula unit. Its calculated density is 7196 kg/m³.

Lattice parameters (Å, degrees): 5.2738 5.2738 5.2738 60.00 60.00 60.00
Closest atoms and distances in Å follow each position.
Atoms (fractional coordinates):
I1 0.5000 0.5000 0.5000  8 In 3.23
Nb1 0.0000 0.0000 0.0000  8 In 3.23
In1 0.2500 0.2500 0.2500  4 Nb 3.23, 4 I 3.23
In2 0.7500 0.7500 0.7500  4 I 3.23, 4 Nb 3.23

9.
Nd2Pd5Au | PBE | optimized geometry

Summary:
Its density of states at the Fermi level is 1.89 states/eV/f.u. The value obtained for the formation energy is -0.777 eV per atom. The value obtained for the raw total energy is -45.0 eV per formula unit. Its calculated density is 11184 kg/m³.

Lattice parameters (Å, degrees): 5.9458 5.9458 5.9458 91.98 118.87 118.87
Closest atoms and distances in Å follow each position.
Atoms (fractional coordinates):
Nd1 0.5000 0.2778 0.7778  10 Pd 2.97-3.02, 2 Au 3.02
Nd2 0.5000 0.7778 0.2778  10 Pd 2.97-3.02, 2 Au 3.02
Pd1 0.4999 0.7777 0.7777  6 Pd 2.97-3.02, 4 Nd 2.97, 2 Au 2.97
Pd2 0.0000 0.7777 0.2778  4 Nd 2.97, 6 Pd 2.97-3.02, 2 Au 2.97
Pd3 0.0000 0.2778 0.7777  4 Nd 2.97, 6 Pd 2.97-3.02, 2 Au 2.97
Pd4 0.5001 0.2778 0.2778  4 Nd 2.97, 6 Pd 2.97-3.02, 2 Au 2.97
Pd5 0.0000 0.2777 0.2777  8 Pd 2.97, 4 Nd 3.02
Au1 0.0000 0.7778 0.7778  8 Pd 2.97, 4 Nd 3.02

10.
AcNd3Sm2Se6 | PBE | optimized geometry

Summary:
Its density of states at the Fermi level is 5.89 states/eV/f.u. The value obtained for the raw total energy is -70.7 eV per formula unit. Its calculated density is 7299 kg/m³.

Lattice parameters (Å, degrees): 7.3768 7.3768 7.3660 99.62 99.62 120.22
Closest atoms and distances in Å follow each position.
Atoms (fractional coordinates):
Ac1 0.0000 0.0000 0.0000  6 Se 3.07-3.09
Nd1 0.1617 0.8383 0.5000  6 Se 2.97-3.03
Nd2 0.8383 0.1617 0.5000  6 Se 2.97-3.03
Nd3 0.5000 0.5000 0.5000  6 Se 2.95-3.03
Sm1 0.3324 0.6676 0.0000  6 Se 2.97-2.99
Sm2 0.6676 0.3324 0.0000  6 Se 2.97-2.99
Se1 0.9152 0.5712 0.7467  3 Nd 2.97-3.03, 2 Sm 2.98-2.99, 1 Ac 3.09
Se2 0.7374 0.7374 0.2470  3 Nd 2.95-3.01, 2 Sm 2.97, 1 Ac 3.07
Se3 0.0848 0.4288 0.2533  3 Nd 2.97-3.03, 2 Sm 2.98-2.99, 1 Ac 3.09
Se4 0.5712 0.9152 0.7467  3 Nd 2.97-3.03, 2 Sm 2.98-2.99, 1 Ac 3.09
Se5 0.2626 0.2626 0.7530  3 Nd 2.95-3.01, 2 Sm 2.97, 1 Ac 3.07
Se6 0.4288 0.0848 0.2533  3 Nd 2.97-3.03, 2 Sm 2.98-2.99, 1 Ac 3.09

Which formula does entry 5 have?
Nb2IrPt